VASP calculation (GGA-PBE) on an optimized crystal structure of PaTl.

```
PaTl
1.0
3.2479 0.0000 0.0000
-1.6240 2.8128 0.0000
0.0000 0.0000 5.6861
Tl Pa
1 1
Cartesian
0.0000 1.8752 1.4215
1.6240 0.9376 4.2645
```

Total moment = 0.03 μB per formula unit
SG = P-6m2 (187)
Total DFT energy (no corrections) = -5.8164 eV/atom

***

VASP calculation (GGA-PBE) on an optimized crystal structure of PaTl.

```
PaTl
1.0
0.0000 3.4380 3.4380
3.4380 0.0000 3.4380
3.4380 3.4380 0.0000
Pa Tl
1 1
Cartesian
0.0000 0.0000 0.0000
1.7190 1.7190 1.7190
```

Total moment = 0.03 μB per formula unit
SG = F-43m (216)
Total DFT energy (no corrections) = -4.4332 eV/atom

***

VASP calculation (GGA-PBE) on an optimized crystal structure of UPaTl.

```
UPaTl
1.0
0.0000 3.5169 3.5169
3.5169 0.0000 3.5169
3.5169 3.5169 0.0000
U Tl Pa
1 1 1
Cartesian
0.0000 0.0000 0.0000
5.2753 5.2753 5.2753
1.7585 1.7585 1.7585
```

Total moment = 5.84 μB per formula unit
SG = F-43m (216)
Total DFT energy (no corrections) = -6.8059 eV/atom

***

VASP calculation (GGA-PBE) on an optimized crystal structure of PaTlW.

```
PaTlW
1.0
1.9357 -2.5520 3.4946
-2.6931 -1.5331 3.5873
-1.0077 -4.6145 0.4035
W Tl Pa
1 1 1
Cartesian
0.0000 0.0000 0.0000
-1.3239 -6.5248 5.6141
-0.4413 -2.1749 1.8714
```

Total moment = 0.00 μB per formula unit
SG = F-43m (216)
Total DFT energy (no corrections) = -7.4082 eV/atom

***

VASP calculation (GGA-PBE) on an optimized crystal structure of PaTlW.

```
PaTlW
1.0
2.7633 2.6772 2.9593
-1.7845 1.5598 4.2360
1.6324 -1.8870 4.1636
W Pa Tl
1 1 1
Cartesian
1.9584 1.7625 8.5192
0.0000 0.0000 0.0000
0.6528 0.5875 2.8397
```

Total moment = 0.01 μB per formula unit
SG = F-43m (216)
Total DFT energy (no corrections) = -6.8014 eV/atom

***

VASP calculation (GGA-PBE) on an optimized crystal structure of PaTlZn.

```
PaTlZn
1.0
0.0000 3.3535 3.3535
3.3535 0.0000 3.3535
3.3535 3.3535 0.0000
Pa Tl Zn
1 1 1
Cartesian
3.3535 3.3535 3.3535
0.0000 0.0000 0.0000
1.6767 1.6767 1.6767
```

Total moment = 0.09 μB per formula unit
SG = F-43m (216)
Total DFT energy (no corrections) = -4.0399 eV/atom

***

VASP calculation (GGA-PBE) on an optimized crystal structure of PaTlZn.

```
PaTlZn
1.0
-4.0128 -2.4255 1.6476
-4.5010 2.0635 -0.4287
-3.2857 -1.8538 -3.2355
Zn Pa Tl
1 1 1
Cartesian
-8.8496 -1.6619 -1.5124
0.0000 0.0000 0.0000
-2.9499 -0.5540 -0.5041
```

Total moment = 0.02 μB per formula unit
SG = F-43m (216)
Total DFT energy (no corrections) = -3.7254 eV/atom

***

VASP calculation (GGA-PBE) on an optimized crystal structure of ZrPaTl.

```
ZrPaTl
1.0
-0.6211 0.1112 4.9464
-4.5722 -0.4037 1.9484
-1.3126 -4.1448 2.4418
Zr Pa Tl
1 1 1
Cartesian
-4.8794 -3.3280 7.0024
-1.6265 -1.1093 2.3341
0.0000 0.0000 0.0000
```

Total moment = 1.77 μB per formula unit
SG = F-43m (216)
Total DFT energy (no corrections) = -6.1181 eV/atom

***

VASP calculation (GGA-PBE) on an optimized crystal structure of ZrPaTl.

```
ZrPaTl
1.0
0.0000 3.6006 3.6006
3.6006 0.0000 3.6006
3.6006 3.6006 0.0000
Pa Tl Zr
1 1 1
Cartesian
0.0000 0.0000 0.0000
1.8003 1.8003 1.8003
5.4009 5.4009 5.4009
```

Total moment = 3.89 μB per formula unit
SG = F-43m (216)
Total DFT energy (no corrections) = -5.7662 eV/atom

***

VASP calculation (GGA-PBE) on an optimized crystal structure of TmPa2.

```
TmPa2
1.0
4.1460 2.3937 6.7705
-4.1460 2.3937 6.7705
0.0000 -4.7874 6.7705
Tm Pa
2 4
Cartesian
0.0000 0.0000 5.0779
0.0000 0.0000 10.1557
-2.0730 1.1969 11.0020
0.0000 0.0000 7.6168
2.0730 1.1969 11.0020
0.0000 -2.3937 11.0020
```

Total moment = 1.00 μB per formula unit
SG = Fd-3m (227)
E_form = 3.22 eV/atom

***

VASP calculation (GGA-PBE) on an optimized crystal structure of TmPaW.

```
TmPaW
1.0
0.0000 3.3882 3.3882
3.3882 0.0000 3.3882
3.3882 3.3882 0.0000
Pa Tm W
1 1 1
Cartesian
0.0000 0.0000 0.0000
3.3882 3.3882 3.3882
1.6941 1.6941 1.6941
```

Total moment = 0.00 μB per formula unit
SG = F-43m (216)
E_form = 0.54 eV/atom

***

VASP calculation (GGA-PBE) on an optimized crystal structure of TmPaZn.

```
TmPaZn
1.0
-3.7390 1.5265 2.5923
-2.0132 4.2484 -0.9633
-4.3699 0.1921 -1.9740
Zn Pa Tm
1 1 1
Cartesian
-2.5305 1.4917 -0.0863
-5.0610 2.9835 -0.1725
0.0000 0.0000 0.0000
```

Total moment = 0.07 μB per formula unit
SG = F-43m (216)
E_form = 0.41 eV/atom